Compound: NpInNi2O8
Source: Alexandria via LeMat-Bulk
Functional: PBE with a Hubbard U
Structure: relaxed

Output
calculated total energy: -0.23760 Ha/atom

```
data_NpInNi2O8
_chemical_formula_sum 'Np1 In1 Ni2 O8'
_space_group_name_H-M_alt 'P 1 2/m 1'
_space_group_IT_number 10
_cell_length_a 4.743
_cell_length_b 6.487
_cell_length_c 4.753
_cell_angle_alpha 90.00
_cell_angle_beta 90.52
_cell_angle_gamma 90.00
loop_
_space_group_symop_operation_xyz
'x,y,z'
'-x,-y,-z'
'-x,y,-z'
'x,-y,z'
loop_
_atom_site_label
_atom_site_type_symbol
_atom_site_fract_x
_atom_site_fract_y
_atom_site_fract_z
_atom_site_occupancy
Np1 Np 0.000 0.000 0.000 1
In1 In 0.000 0.500 0.000 1
Ni1 Ni 0.500 0.254 0.500 1
O1 O 0.203 0.232 0.800 1
O2 O 0.300 0.000 0.302 1
O3 O 0.314 0.500 0.317 1
```